First-principles (PBE) data for crystalline DyHo3Tl4Te8 at its relaxed geometry, as listed in the Alexandria database.

Output
- space-group type = R-3m, No. 166
- crystal system = trigonal
- formation energy (no corrections) (meV per atom) = -1048
- magnetic moment (Bohr magnetons per cell) = 0.00

abc: 8.8804 9.6609 8.8803
angles: 117.36 120.00 90.00
Closest atoms and distances in Å follow each position.
Sites, in units of the cell vectors:
Dy 0.0000 0.5000 0.0000  6 Te 3.10
Ho 0.5000 0.5000 0.0000  6 Te 3.10
Ho 0.5000 0.5000 0.5000  6 Te 3.10
Ho 0.0000 0.5000 0.5000  6 Te 3.10
Tl 0.5000 0.0000 0.0000  6 Te 3.47-3.48
Tl 0.5000 0.0000 0.5000  6 Te 3.48
Tl 0.0000 0.0000 0.0000  6 Te 3.48
Tl 0.0000 0.0000 0.5000  6 Te 3.48
Te 0.2380 0.7126 0.9747  2 Ho 3.10, 1 Dy 3.10
Te 0.2380 0.7126 0.4760  2 Ho 3.10, 1 Dy 3.10
Te 0.2626 0.2879 0.5252  3 Ho 3.10
Te 0.7367 0.7126 0.9747  2 Ho 3.10, 1 Dy 3.10
Te 0.2633 0.2874 0.0253  2 Ho 3.10, 1 Dy 3.10
Te 0.7374 0.7121 0.4748  3 Ho 3.10
Te 0.7620 0.2874 0.5240  2 Ho 3.10, 1 Dy 3.10
Te 0.7620 0.2874 0.0253  2 Ho 3.10, 1 Dy 3.10

---

First-principles (PBE) data for crystalline CaCeGd2 at its relaxed geometry, as listed in the Alexandria database.

Output
- energy relative to the elements (eV/atom) = 0.79
- space-group type = R-3m, No. 166
- crystal system = trigonal
- magnetic moment (Bohr magnetons per cell) = 14.16

abc: 4.0809 4.0809 10.4830
angles: 78.78 78.78 60.00
Closest atoms and distances in Å follow each position.
Sites, in units of the cell vectors:
Ca 0.0000 0.0000 0.0000  2 Gd 3.49
Gd 0.1138 0.1138 0.6585  3 Ce 2.86
Gd 0.8862 0.8862 0.3415  3 Ce 2.86
Ce 0.5000 0.5000 0.5000  6 Gd 2.86

---

First-principles (PBE) data for crystalline ZrOs2W2 at its relaxed geometry, as listed in the Alexandria database.

Output
- energy relative to the elements (eV/atom) = 0.07
- space-group type = P4/mbm, No. 127
- crystal system = tetragonal
- magnetic moment (Bohr magnetons per cell) = 0.00

abc: 7.6421 7.6421 2.9094
angles: 90.00 90.00 90.00
Closest atoms and distances in Å follow each position.
Sites, in units of the cell vectors:
Os 0.3653 0.8653 0.0000  6 W 2.65-2.69, 3 Os 2.91
Os 0.8653 0.6347 0.0000  6 W 2.65-2.69, 3 Os 2.91
Os 0.6347 0.1347 0.0000  6 W 2.65-2.69, 3 Os 2.91
Os 0.1347 0.3653 0.0000  6 W 2.65-2.69, 3 Os 2.91
Zr 0.0000 0.0000 0.0000  2 Zr 2.91, 4 Os 2.98, 8 W 3.22
Zr 0.5000 0.5000 0.0000  2 Zr 2.91, 4 Os 2.98, 8 W 3.22
W 0.1607 0.6607 0.5000  6 Os 2.65-2.69, 2 W 2.91
W 0.6607 0.8393 0.5000  6 Os 2.65-2.69, 2 W 2.91
W 0.8393 0.3393 0.5000  6 Os 2.65-2.69, 2 W 2.91
W 0.3393 0.1607 0.5000  6 Os 2.65-2.69, 2 W 2.91